Record 1
DFT (GGA-PBE) results for a relaxed structure of La3AlFeS7.

Unit cell a=10.1942 b=10.1942 c=6.0953 alpha=90.00 beta=90.00 gamma=120.00
With the nearest neighbours (Å) after each atom.
Space group P6_3 (No. 173)
Asymmetric unit:
La 0.1411 0.7672 0.0000  7 S 2.89-3.04
Al 0.3333 0.6667 0.5789  4 S 2.23-2.26
Fe 0.0000 0.0000 0.2019  6 S 2.50-2.58
S 0.0879 0.8600 0.4413  2 Fe 2.50-2.58
S 0.1006 0.5187 0.7247  1 Al 2.26
S 0.3333 0.6667 0.2133  1 Al 2.23

Properties
- Total DFT energy (no corrections): -6.3212 eV/atom
- N(E_F): 10.53 states/eV/cell

Record 2
DFT (GGA-PBE) results for a relaxed structure of LaScAl2Fe.

Unit cell a=4.7094 b=4.7094 c=4.6795 alpha=90.00 beta=90.00 gamma=90.00
With the nearest neighbours (Å) after each atom.
Space group P4/mmm (No. 123)
Asymmetric unit:
La 0.0000 0.0000 0.0000  8 Al 3.32, 4 Sc 3.33
Sc 0.5000 0.5000 0.0000  2 Fe 2.34
Al 0.0000 0.5000 0.5000  2 Fe 2.35
Fe 0.5000 0.5000 0.5000  2 Sc 2.34, 4 Al 2.35

Properties
- Total DFT energy (no corrections): -5.7450 eV/atom
- ΔH_f (0 K): -0.304 eV/atom
- N(E_F): 2.58 states/eV/cell

Record 3
DFT (GGA-PBE) results for a relaxed structure of LaSc2AlFe.

Unit cell a=4.8246 b=4.8246 c=4.8420 alpha=90.00 beta=90.00 gamma=90.00
With the nearest neighbours (Å) after each atom.
Space group P4/mmm (No. 123)
Asymmetric unit:
La 0.0000 0.0000 0.0000  4 Al 3.41, 8 Sc 3.42
Sc 0.0000 0.5000 0.5000  2 Fe 2.41
Al 0.5000 0.5000 0.0000  2 Fe 2.42
Fe 0.5000 0.5000 0.5000  4 Sc 2.41, 2 Al 2.42

Properties
- Total DFT energy (no corrections): -6.1149 eV/atom
- ΔH_f (0 K): -0.156 eV/atom
- N(E_F): 4.14 states/eV/cell

Record 4
DFT (GGA-PBE) results for a relaxed structure of LaAl2FeSi.

Unit cell a=4.5838 b=4.5838 c=4.4631 alpha=90.00 beta=90.00 gamma=90.00
With the nearest neighbours (Å) after each atom.
Space group P4/mmm (No. 123)
Asymmetric unit:
La 0.0000 0.0000 0.0000  8 Al 3.20, 4 Si 3.24
Al 0.0000 0.5000 0.5000  2 Fe 2.29
Fe 0.5000 0.5000 0.5000  2 Si 2.23, 4 Al 2.29
Si 0.5000 0.5000 0.0000  2 Fe 2.23

Properties
- Total DFT energy (no corrections): -5.6183 eV/atom
- N(E_F): 2.61 states/eV/cell

Record 5
DFT (GGA-PBE) results for a relaxed structure of La2AlFeSn.

Unit cell a=5.7581 b=5.7581 c=4.5185 alpha=90.00 beta=90.00 gamma=90.00
With the nearest neighbours (Å) after each atom.
Space group P4/mmm (No. 123)
Asymmetric unit:
La 0.0000 0.5000 0.0000  2 Al 2.88
Al 0.0000 0.0000 0.0000  2 Fe 2.26
Fe 0.0000 0.0000 0.5000  2 Al 2.26
Sn 0.5000 0.5000 0.5000  8 La 3.66, 4 Fe 4.07

Properties
- Total DFT energy (no corrections): -5.0217 eV/atom
- Relative energy among the computed polymorphs: 537 meV per atom
- ΔH_f (0 K): 0.191 eV/atom
- N(E_F): 5.59 states/eV/cell

Record 6
DFT (GGA-PBE) results for a relaxed structure of La2AlFeSn.

Unit cell a=5.1444 b=5.1444 c=4.7867 alpha=90.00 beta=90.00 gamma=90.00
With the nearest neighbours (Å) after each atom.
Space group P4/mmm (No. 123)
Asymmetric unit:
La 0.0000 0.5000 0.0000  2 Fe 2.57
Al 0.0000 0.0000 0.5000  2 Fe 2.39
Fe 0.0000 0.0000 0.0000  2 Al 2.39, 4 La 2.57
Sn 0.5000 0.5000 0.5000  8 La 3.51, 4 Al 3.64

Properties
- Total DFT energy (no corrections): -5.5590 eV/atom
- Relative energy among the computed polymorphs: 0 meV per atom
- ΔH_f (0 K): -0.346 eV/atom
- N(E_F): 4.61 states/eV/cell